# DyNpIr

A relaxed DyNpIr crystal (PBE, Alexandria via LeMat-Bulk).

Total magnetic moment: 0.000 μB/f.u.
Density of states at the Fermi level: 1.487 states/eV/atom
Formation energy from the elements: -1.12 eV/f.u.
Uncorrected energy: -9.176 eV per atom

Lattice parameters (Å, degrees): 10.773 3.806 7.826 90.00 125.25 90.00
Space group C2/m (No. 12)
Unique sites:
Dy1 0.082 0.000 0.366 x4
Np1 0.123 0.500 0.046 x4
Ir1 0.163 0.500 0.716 x4